This record from Alexandria describes a relaxed NpTlCO5 crystal. The functional is PBE-GGA.

Results
space-group type	C2/c (15)
E	-7.833	eV/atom

Unit cell a=5.801 b=5.801 c=7.926 alpha=106.39 beta=106.39 gamma=105.40
Fractional coordinates of all 16 atoms:
O (0.431, 0.220, 0.132)
O (0.153, 0.721, 0.862)
C (0.305, 0.695, 0.750)
C (0.695, 0.305, 0.250)
O (0.721, 0.153, 0.362)
O (0.780, 0.569, 0.368)
O (0.938, 0.062, 0.750)
Tl (0.656, 0.344, 0.750)
O (0.847, 0.279, 0.138)
Np (0.000, 0.000, 0.000)
O (0.569, 0.780, 0.868)
O (0.220, 0.431, 0.632)
Tl (0.344, 0.656, 0.250)
O (0.279, 0.847, 0.638)
O (0.062, 0.938, 0.250)
Np (0.000, 0.000, 0.500)